## Ti3Pd2Rh2 (PBE-GGA)

Data for a geometry-optimized Ti3Pd2Rh2 structure.

abc: 4.657 4.657 6.597
angles: 103.13 103.13 50.50
Sites, in units of the cell vectors:
Ti 0.000 0.000 0.000
Ti 0.401 0.401 0.289
Ti 0.599 0.599 0.711
Pd 0.133 0.133 0.420
Pd 0.867 0.867 0.580
Rh 0.304 0.304 0.874
Rh 0.696 0.696 0.126

Energy of formation (kJ per mole of atoms): -64
Density (Mg/m³): 8.738
Crystal system: monoclinic
SG: No. 12